Record 1
Entry from OQMD via LeMat-Bulk: a geometry-optimized Ba2LaOsSe6 structure (GGA-PBE).

```
data_Ba2LaOsSe6
_symmetry_space_group_name_H-M 'P -1'
_symmetry_Int_Tables_number 2
_cell_length_a 7.360
_cell_length_b 7.369
_cell_length_c 7.479
_cell_angle_alpha 61.83
_cell_angle_beta 62.44
_cell_angle_gamma 61.09
loop_
_symmetry_equiv_pos_as_xyz
'x,y,z'
'-x,-y,-z'
loop_
_atom_site_label
_atom_site_fract_x
_atom_site_fract_y
_atom_site_fract_z
_atom_site_occupancy
Ba1 0.246 0.251 0.260 1
La1 0.000 0.000 0.000 1
Os1 0.500 0.500 0.500 1
Se1 0.222 0.312 0.696 1
Se2 0.237 0.789 0.675 1
Se3 0.348 0.719 0.192 1
```

Output
* V: 298.19 Å³/cell

***

Record 2
Entry from OQMD via LeMat-Bulk: a geometry-optimized RbErSnTe3 structure (GGA-PBE).

```
data_RbErSnTe3
_symmetry_space_group_name_H-M 'C m c m'
_symmetry_Int_Tables_number 63
_symmetry_space_group_name_Hall '-C 2c 2'
_cell_length_a 4.357
_cell_length_b 17.398
_cell_length_c 12.749
_cell_angle_alpha 90.00
_cell_angle_beta 90.00
_cell_angle_gamma 90.00
loop_
_atom_site_label
_atom_site_fract_x
_atom_site_fract_y
_atom_site_fract_z
_atom_site_occupancy
Rb1 0.000 0.209 0.250 1
Er1 0.000 0.500 0.000 1
Sn1 0.000 0.104 0.750 1
Te1 0.000 0.122 0.506 1
Te2 0.000 0.489 0.750 1
```

Output
* V: 966.46 Å³/cell

***

Record 3
Entry from OQMD via LeMat-Bulk: a geometry-optimized Er2LuAl3NiGe2 structure (GGA-PBE).

```
data_Er2LuAl3NiGe2
_symmetry_space_group_name_H-M 'A m m 2'
_symmetry_Int_Tables_number 38
_cell_length_a 4.143
_cell_length_b 11.898
_cell_length_c 6.875
_cell_angle_alpha 90.00
_cell_angle_beta 90.00
_cell_angle_gamma 90.00
loop_
_symmetry_equiv_pos_as_xyz
'x,y,z'
'-x,-y,z'
'-x,y,z'
'x,-y,z'
'x,y+1/2,z+1/2'
'-x,-y+1/2,z+1/2'
'-x,y+1/2,z+1/2'
'x,-y+1/2,z+1/2'
loop_
_atom_site_label
_atom_site_fract_x
_atom_site_fract_y
_atom_site_fract_z
_atom_site_occupancy
Er1 0.000 0.202 0.000 1
Lu1 0.000 0.000 0.605 1
Al1 0.500 0.000 0.972 1
Al2 0.500 0.115 0.318 1
Ni1 0.000 0.000 0.205 1
Ge1 0.500 0.165 0.701 1
```

Output
* V: 338.90 Å³/cell

***

no.,E_tot (eV per formula unit)
1,-52.48
2,-24.21
3,-46.35